Entry from the Alexandria database: a geometry-optimized HfMg3Ni8 structure (GGA-PBE).

Results
space-group type = R3m, No. 160
formation energy = -0.3178 eV/atom

Unit cell a=8.3456 b=8.3456 c=8.3456 alpha=33.71 beta=33.71 gamma=33.71
Element x y z (fractional)
Hf (0.0000, 0.0000, 0.0000)
Mg (0.3802, 0.3802, 0.3802)
Mg (0.5028, 0.5028, 0.5028)
Mg (0.8732, 0.8732, 0.8732)
Ni (0.1889, 0.1889, 0.1889)
Ni (0.4371, 0.9385, 0.9385)
Ni (0.4384, 0.4384, 0.9424)
Ni (0.4384, 0.9424, 0.4384)
Ni (0.6891, 0.6891, 0.6891)
Ni (0.9385, 0.4371, 0.9385)
Ni (0.9385, 0.9385, 0.4371)
Ni (0.9424, 0.4384, 0.4384)

***

Entry from the Alexandria database: a geometry-optimized HfMg14Ni structure (GGA-PBE).

Results
space-group type = Amm2, No. 38
energy above the lowest structure with this stoichiometry = 0.0 meV/atom
formation energy = 0.0433 eV/atom

Unit cell a=10.0705 b=6.3468 c=6.3468 alpha=57.53 beta=90.00 gamma=90.00
Element x y z (fractional)
Hf (0.0000, 0.0000, 0.0000)
Mg (0.0000, 0.0161, 0.4897)
Mg (0.0000, 0.4897, 0.0161)
Mg (0.2158, 0.6354, 0.6354)
Mg (0.2398, 0.1526, 0.6514)
Mg (0.2398, 0.6514, 0.1526)
Mg (0.2536, 0.1494, 0.1494)
Mg (0.5000, 0.4885, 0.4885)
Mg (0.5000, 0.4913, 0.9823)
Mg (0.5000, 0.9823, 0.4913)
Mg (0.5000, 0.9850, 0.9850)
Mg (0.7464, 0.1494, 0.1494)
Mg (0.7602, 0.1526, 0.6514)
Mg (0.7602, 0.6514, 0.1526)
Mg (0.7842, 0.6354, 0.6354)
Ni (0.0000, 0.4752, 0.4752)

***

Entry from the Alexandria database: a geometry-optimized HfMgNi6 structure (GGA-PBE).

Results
space-group type = Cmmm, No. 65
formation energy = -0.3011 eV/atom

Unit cell a=6.3929 b=6.3929 c=10.4435 alpha=90.00 beta=90.00 gamma=109.77
Element x y z (fractional)
Hf (0.0000, 0.0000, 0.2472)
Hf (0.0000, 0.0000, 0.7528)
Hf (0.2475, 0.7525, 0.5000)
Hf (0.7525, 0.2475, 0.5000)
Mg (0.2465, 0.7535, 0.0000)
Mg (0.5000, 0.5000, 0.2483)
Mg (0.5000, 0.5000, 0.7517)
Mg (0.7535, 0.2465, 0.0000)
Ni (0.0000, 0.0000, 0.0000)
Ni (0.0000, 0.0000, 0.5000)
Ni (0.1271, 0.3793, 0.1234)
Ni (0.1271, 0.3793, 0.8766)
Ni (0.1280, 0.3767, 0.3735)
Ni (0.1280, 0.3767, 0.6265)
Ni (0.2502, 0.7498, 0.2476)
Ni (0.2502, 0.7498, 0.7524)
Ni (0.3767, 0.1280, 0.3735)
Ni (0.3767, 0.1280, 0.6265)
Ni (0.3793, 0.1271, 0.1234)
Ni (0.3793, 0.1271, 0.8766)
Ni (0.5000, 0.5000, 0.0000)
Ni (0.5000, 0.5000, 0.5000)
Ni (0.6207, 0.8729, 0.1234)
Ni (0.6207, 0.8729, 0.8766)
Ni (0.6233, 0.8720, 0.3735)
Ni (0.6233, 0.8720, 0.6265)
Ni (0.7498, 0.2502, 0.2476)
Ni (0.7498, 0.2502, 0.7524)
Ni (0.8720, 0.6233, 0.3735)
Ni (0.8720, 0.6233, 0.6265)
Ni (0.8729, 0.6207, 0.1234)
Ni (0.8729, 0.6207, 0.8766)

***

Entry from the Alexandria database: a geometry-optimized HfMg14Ni structure (GGA-PBE).

Results
space-group type = P-6m2, No. 187
energy above the lowest structure with this stoichiometry = 8.9 meV/atom
formation energy = 0.0522 eV/atom

Unit cell a=6.2960 b=6.2960 c=9.9597 alpha=90.00 beta=90.00 gamma=120.00
Element x y z (fractional)
Hf (0.0000, 0.0000, 0.0000)
Mg (0.0111, 0.5055, 0.0000)
Mg (0.1588, 0.3177, 0.2614)
Mg (0.1588, 0.3177, 0.7386)
Mg (0.1588, 0.8412, 0.2614)
Mg (0.1588, 0.8412, 0.7386)
Mg (0.4945, 0.5055, 0.0000)
Mg (0.4945, 0.9889, 0.0000)
Mg (0.5032, 0.0064, 0.5000)
Mg (0.5032, 0.4968, 0.5000)
Mg (0.6667, 0.3333, 0.2391)
Mg (0.6667, 0.3333, 0.7609)
Mg (0.6823, 0.8412, 0.2614)
Mg (0.6823, 0.8412, 0.7386)
Mg (0.9936, 0.4968, 0.5000)
Ni (0.0000, 0.0000, 0.5000)

***

Entry from the Alexandria database: a geometry-optimized HfMg2Ni2 structure (GGA-PBE).

Results
space-group type = I4/mmm, No. 139
energy above the lowest structure with this stoichiometry = 95.4 meV/atom
formation energy = -0.0572 eV/atom

Unit cell a=3.7092 b=3.7092 c=12.0086 alpha=90.00 beta=90.00 gamma=90.00
Element x y z (fractional)
Hf (0.0000, 0.0000, 0.0000)
Hf (0.5000, 0.5000, 0.5000)
Mg (0.0000, 0.5000, 0.2500)
Mg (0.0000, 0.5000, 0.7500)
Mg (0.5000, 0.0000, 0.2500)
Mg (0.5000, 0.0000, 0.7500)
Ni (0.0000, 0.0000, 0.4056)
Ni (0.0000, 0.0000, 0.5944)
Ni (0.5000, 0.5000, 0.0944)
Ni (0.5000, 0.5000, 0.9056)

***

Entry from the Alexandria database: a geometry-optimized HfMg3Ni structure (GGA-PBE).

Results
space-group type = Pm-3m, No. 221
energy above the lowest structure with this stoichiometry = 1368.1 meV/atom
formation energy = 1.7323 eV/atom

Unit cell a=5.5115 b=5.5115 c=5.5115 alpha=90.00 beta=90.00 gamma=90.00
Element x y z (fractional)
Hf (0.0000, 0.0000, 0.0000)
Mg (0.0000, 0.0000, 0.5000)
Mg (0.0000, 0.5000, 0.0000)
Mg (0.5000, 0.0000, 0.0000)
Ni (0.5000, 0.5000, 0.5000)

***

Entry from the Alexandria database: a geometry-optimized HfMg2Ni structure (GGA-PBE).

Results
space-group type = I-42d, No. 122
formation energy = 0.2863 eV/atom

Unit cell a=3.8343 b=3.8343 c=20.8786 alpha=90.00 beta=90.00 gamma=90.00
Element x y z (fractional)
Hf (0.0000, 0.0000, 0.0000)
Hf (0.0000, 0.5000, 0.2500)
Hf (0.5000, 0.0000, 0.7500)
Hf (0.5000, 0.5000, 0.5000)
Mg (0.2384, 0.2500, 0.6250)
Mg (0.2500, 0.7384, 0.8750)
Mg (0.2500, 0.7616, 0.3750)
Mg (0.2616, 0.2500, 0.1250)
Mg (0.7384, 0.7500, 0.1250)
Mg (0.7500, 0.2384, 0.3750)
Mg (0.7500, 0.2616, 0.8750)
Mg (0.7616, 0.7500, 0.6250)
Ni (0.0000, 0.0000, 0.5000)
Ni (0.0000, 0.5000, 0.7500)
Ni (0.5000, 0.0000, 0.2500)
Ni (0.5000, 0.5000, 0.0000)

***

Entry from the Alexandria database: a geometry-optimized HfMgNiOs structure (GGA-PBE).

Results
space-group type = F-43m, No. 216
formation energy = -0.3021 eV/atom

Unit cell a=6.3184 b=6.3184 c=6.3184 alpha=90.00 beta=90.00 gamma=90.00
Element x y z (fractional)
Hf (0.0000, 0.0000, 0.0000)
Hf (0.0000, 0.5000, 0.5000)
Hf (0.5000, 0.0000, 0.5000)
Hf (0.5000, 0.5000, 0.0000)
Mg (0.0000, 0.0000, 0.5000)
Mg (0.0000, 0.5000, 0.0000)
Mg (0.5000, 0.0000, 0.0000)
Mg (0.5000, 0.5000, 0.5000)
Ni (0.2500, 0.2500, 0.7500)
Ni (0.2500, 0.7500, 0.2500)
Ni (0.7500, 0.2500, 0.2500)
Ni (0.7500, 0.7500, 0.7500)
Os (0.2500, 0.2500, 0.2500)
Os (0.2500, 0.7500, 0.7500)
Os (0.7500, 0.2500, 0.7500)
Os (0.7500, 0.7500, 0.2500)

***

Per-record calculated volume, Å³/atom: 13.291 21.391 12.552 21.369 16.521 33.484 19.185 15.766